No. 1
VASP calculation (PBE) on a relaxed structure of CsLi2TlBr4. Values from VASP.

Formation energy (no corrections): -1341 meV/atom
M_tot: 0.000 μB/atom

Geometry as Quantum ESPRESSO input:
```
&SYSTEM
  ibrav = 0, nat = 8, ntyp = 4
/
ATOMIC_SPECIES
Cs 132.91 Cs.upf
Li 6.94 Li.upf
Tl 204.38 Tl.upf
Br 79.90 Br.upf
ATOMIC_POSITIONS angstrom
Cs 0.000 0.000 0.000
Li 3.775 0.000 2.493
Li 0.000 3.786 2.461
Tl 0.000 0.000 4.954
Br 1.983 2.063 -2.149
Br 1.792 -1.723 7.103
Br 1.792 1.723 2.805
Br 1.983 5.509 2.149
CELL_PARAMETERS angstrom
-3.775 3.786 4.954
3.775 -3.786 4.954
3.775 3.786 -4.954
```

No. 2
VASP calculation (PBE) on a relaxed structure of AlMo2Rh. Values from VASP.

Formation energy: -5.5 kcal/mol of atoms
M_tot: 0.000 μB/atom

Geometry as Quantum ESPRESSO input:
```
&SYSTEM
  ibrav = 0, nat = 4, ntyp = 3
/
ATOMIC_SPECIES
Al 26.98 Al.upf
Mo 95.94 Mo.upf
Rh 102.91 Rh.upf
ATOMIC_POSITIONS angstrom
Al 0.000 0.000 0.000
Mo 0.948 0.000 2.491
Mo 1.574 2.179 1.177
Rh -0.234 2.179 3.770
CELL_PARAMETERS angstrom
2.758 0.000 0.000
0.000 4.358 0.000
-0.535 0.000 5.025
```

No. 3
VASP calculation (PBE) on a relaxed structure of MgCu2H6Rh. Values from VASP.

M_tot: 0.000 μB/atom
Calculated total energy: -3.779 eV per atom

Geometry as Quantum ESPRESSO input:
```
&SYSTEM
  ibrav = 0, nat = 10, ntyp = 4
/
ATOMIC_SPECIES
Mg 24.30 Mg.upf
Cu 63.55 Cu.upf
H 1.01 H.upf
Rh 102.91 Rh.upf
ATOMIC_POSITIONS angstrom
Mg 0.000 0.000 0.000
Cu 2.004 3.160 2.672
Cu 2.109 0.813 1.579
H 2.533 3.287 4.279
H 3.200 1.960 2.489
H 3.438 3.899 0.369
H 3.158 1.560 0.248
H 4.996 3.712 2.135
H 5.034 1.227 1.975
Rh 4.234 2.514 1.126
CELL_PARAMETERS angstrom
4.511 0.000 0.000
1.436 4.341 0.000
1.620 0.904 4.368
```

No. 4
VASP calculation (PBE) on a relaxed structure of Hf2TiAl2Co5. Values from VASP.

Formation energy: -8.2 kcal/mol of atoms
M_tot: 0.000 μB/atom

Geometry as Quantum ESPRESSO input:
```
&SYSTEM
  ibrav = 0, nat = 20, ntyp = 4
/
ATOMIC_SPECIES
Hf 178.49 Hf.upf
Ti 47.87 Ti.upf
Al 26.98 Al.upf
Co 58.93 Co.upf
ATOMIC_POSITIONS angstrom
Hf 1.591 2.972 0.000
Hf 2.972 7.535 0.000
Hf 6.154 1.591 0.000
Hf 7.535 6.154 0.000
Ti 0.000 0.000 0.000
Ti 4.563 4.563 0.000
Al 1.122 5.685 0.000
Al 3.441 1.122 0.000
Al 5.685 8.004 0.000
Al 8.004 3.441 0.000
Co 0.000 4.563 1.667
Co 0.589 7.263 1.667
Co 1.863 0.589 1.667
Co 2.700 5.151 1.667
Co 3.974 2.700 1.667
Co 4.563 0.000 1.667
Co 5.151 6.426 1.667
Co 6.426 3.974 1.667
Co 7.263 8.537 1.667
Co 8.537 1.863 1.667
CELL_PARAMETERS angstrom
9.126 0.000 0.000
0.000 9.126 0.000
0.000 0.000 3.334
```

No. 5
VASP calculation (PBE) on a relaxed structure of Y6SiAs2Se3. Values from VASP.

Formation energy (no corrections): -1610 meV/atom
M_tot: 0.000 μB/atom

Geometry as Quantum ESPRESSO input:
```
&SYSTEM
  ibrav = 0, nat = 12, ntyp = 4
/
ATOMIC_SPECIES
Y 88.91 Y.upf
Si 28.09 Si.upf
As 74.92 As.upf
Se 78.96 Se.upf
ATOMIC_POSITIONS angstrom
Y -0.429 0.000 1.912
Y 5.137 0.000 3.394
Y 4.332 0.000 7.319
Y 11.723 0.000 0.698
Y 10.918 0.000 4.623
Y 16.484 0.000 6.105
Si 8.992 0.000 0.000
As 2.360 0.000 2.680
As 13.695 0.000 5.337
Se 1.419 0.000 6.677
Se 8.027 0.000 4.009
Se 14.636 0.000 1.341
CELL_PARAMETERS angstrom
8.992 -2.056 0.000
8.992 2.056 0.000
-1.929 0.000 8.017
```

No. 6
VASP calculation (PBE) on a relaxed structure of LaTcAg2. Values from VASP.

Energy relative to the lowest polymorph listed for this composition: 145 meV/atom
Formation energy: 8.3 kcal/mol of atoms
M_tot: 0.276 μB/atom

Geometry as Quantum ESPRESSO input:
```
&SYSTEM
  ibrav = 0, nat = 4, ntyp = 3
/
ATOMIC_SPECIES
La 138.91 La.upf
Tc 98.00 Tc.upf
Ag 107.87 Ag.upf
ATOMIC_POSITIONS angstrom
La 0.000 0.000 0.000
Tc 1.794 1.794 1.633
Ag 0.000 0.000 3.116
Ag 1.794 1.794 4.490
CELL_PARAMETERS angstrom
3.588 0.000 0.000
0.000 3.588 0.000
0.000 0.000 6.583
```

No. 7
VASP calculation (PBE) on a relaxed structure of Ca3Ag5. Values from VASP.

Energy relative to the lowest polymorph listed for this composition: 143 meV/atom
Formation energy: -3.2 kcal/mol of atoms
M_tot: 0.000 μB/atom

Geometry as Quantum ESPRESSO input:
```
&SYSTEM
  ibrav = 0, nat = 16, ntyp = 2
/
ATOMIC_SPECIES
Ca 40.08 Ca.upf
Ag 107.87 Ag.upf
ATOMIC_POSITIONS angstrom
Ca 0.000 0.000 0.000
Ca 4.382 4.005 6.874
Ca 2.923 2.792 2.825
Ca 5.829 5.218 2.825
Ca 7.319 4.005 6.845
Ca 5.873 0.000 5.653
Ag 1.460 0.010 2.826
Ag 2.897 5.431 1.359
Ag 2.935 1.454 5.420
Ag 5.839 6.556 5.420
Ag 2.936 1.457 0.229
Ag 5.857 2.568 4.275
Ag 7.304 7.999 2.825
Ag 5.840 6.553 0.229
Ag 5.856 2.579 1.359
Ag 8.770 5.441 4.275
CELL_PARAMETERS angstrom
5.874 0.000 0.000
2.903 8.009 0.000
2.936 0.000 8.085
```

No. 8
VASP calculation (PBE) on a relaxed structure of TbDyErAl. Values from VASP.

Energy relative to the lowest polymorph listed for this composition: 0 meV/atom
Formation energy: -4.4 kcal/mol of atoms
M_tot: 0.000 μB/atom

Geometry as Quantum ESPRESSO input:
```
&SYSTEM
  ibrav = 0, nat = 4, ntyp = 4
/
ATOMIC_SPECIES
Tb 158.93 Tb.upf
Dy 162.50 Dy.upf
Er 167.26 Er.upf
Al 26.98 Al.upf
ATOMIC_POSITIONS angstrom
Tb 0.000 0.000 0.000
Dy 0.000 2.376 2.377
Er 2.373 0.000 2.377
Al 2.373 2.376 0.000
CELL_PARAMETERS angstrom
4.745 0.000 0.000
0.000 4.753 0.000
0.000 0.000 4.755
```

No. 9
VASP calculation (PBE) on a relaxed structure of Zr3Be. Values from VASP.

Energy relative to the lowest polymorph listed for this composition: 16 meV/atom
Formation energy: 1.0 kcal/mol of atoms
M_tot: 0.000 μB/atom

Geometry as Quantum ESPRESSO input:
```
&SYSTEM
  ibrav = 0, nat = 8, ntyp = 2
/
ATOMIC_SPECIES
Zr 91.22 Zr.upf
Be 9.01 Be.upf
ATOMIC_POSITIONS angstrom
Zr 4.112 3.657 3.027
Zr 2.486 1.170 3.027
Zr 2.486 -1.170 1.009
Zr 5.739 1.170 3.027
Zr 5.739 -1.170 1.009
Zr 4.112 -3.657 1.009
Be 4.112 1.862 1.009
Be 4.112 -1.862 3.027
CELL_PARAMETERS angstrom
4.112 -4.769 0.000
4.112 4.769 0.000
0.000 0.000 4.037
```

No. 10
VASP calculation (PBE) on a relaxed structure of SbRh2W. Values from VASP.

Formation energy (no corrections): 75 meV/atom
M_tot: 0.000 μB/atom

Geometry as Quantum ESPRESSO input:
```
&SYSTEM
  ibrav = 0, nat = 4, ntyp = 3
/
ATOMIC_SPECIES
Sb 121.76 Sb.upf
Rh 102.91 Rh.upf
W 183.84 W.upf
ATOMIC_POSITIONS angstrom
Sb 0.000 0.000 0.000
Rh 0.000 0.000 3.933
Rh 0.000 2.023 1.966
W 2.023 0.000 1.966
CELL_PARAMETERS angstrom
-2.023 2.023 3.933
2.023 -2.023 3.933
2.023 2.023 -3.933
```

No. 11
VASP calculation (PBE) on a relaxed structure of BaZnGa2Ge. Values from VASP.

Formation energy: -9.1 kcal/mol of atoms
M_tot: 0.000 μB/atom

Geometry as Quantum ESPRESSO input:
```
&SYSTEM
  ibrav = 0, nat = 5, ntyp = 4
/
ATOMIC_SPECIES
Ba 137.33 Ba.upf
Zn 65.41 Zn.upf
Ga 69.72 Ga.upf
Ge 72.64 Ge.upf
ATOMIC_POSITIONS angstrom
Ba 0.000 0.000 0.000
Zn 2.299 0.000 2.668
Ga 0.000 0.000 6.740
Ga 0.000 2.300 2.682
Ge 0.000 0.000 4.106
CELL_PARAMETERS angstrom
-2.299 2.300 5.393
2.299 -2.300 5.393
2.299 2.300 -5.393
```

No. 12
VASP calculation (PBE) on a relaxed structure of Cs2GaPtAu. Values from VASP.

Formation energy: -3.7 kcal/mol of atoms
M_tot: 0.000 μB/atom

Geometry as Quantum ESPRESSO input:
```
&SYSTEM
  ibrav = 0, nat = 5, ntyp = 4
/
ATOMIC_SPECIES
Cs 132.91 Cs.upf
Ga 69.72 Ga.upf
Pt 195.08 Pt.upf
Au 196.97 Au.upf
ATOMIC_POSITIONS angstrom
Cs 0.000 3.338 0.000
Cs 3.338 0.000 0.000
Ga 0.000 0.000 2.411
Pt 0.000 0.000 0.000
Au 3.338 3.338 2.411
CELL_PARAMETERS angstrom
6.677 0.000 0.000
0.000 6.677 0.000
0.000 0.000 4.823
```

Number 1: DOS at the Fermi energy 0.00 states/eV/cell. Number 2: DOS at the Fermi energy 2.17 states/eV/cell. Number 3: DOS at the Fermi energy 1.62 states/eV/cell. Number 4: DOS at the Fermi energy 10.78 states/eV/cell. Number 5: DOS at the Fermi energy 3.61 states/eV/cell. Number 6: DOS at the Fermi energy 5.30 states/eV/cell. Number 7: DOS at the Fermi energy 7.24 states/eV/cell. Number 8: DOS at the Fermi energy 5.54 states/eV/cell. Number 9: DOS at the Fermi energy 8.94 states/eV/cell. Number 10: DOS at the Fermi energy 3.95 states/eV/cell. Number 11: DOS at the Fermi energy 1.34 states/eV/cell. Number 12: DOS at the Fermi energy 0.86 states/eV/cell.